[1]
Below is a relaxed structure of Li2PbF4, with properties calculated at the GGA-PBE level.

POSCAR file:
```
Li2PbF4
1.0
-1.8961 -0.9078 -6.7556
-1.9717 -5.7661 -2.3766
-6.2144 -0.8764 -1.8429
F Pb Li
8 2 4
direct
0.2772 0.7341 0.7115
0.2325 0.7703 0.2703
0.2772 0.2115 0.2341
0.7228 0.2659 0.2885
0.7675 0.2297 0.7297
0.2732 0.2297 0.7297
0.7268 0.7703 0.2703
0.7228 0.7885 0.7659
0.0000 0.5000 0.0000
0.5000 0.5000 0.0000
0.8589 0.8911 0.3911
0.1411 0.1089 0.6089
0.5000 0.5000 0.5000
0.5000 0.0000 0.0000
```

Results
Energy above the most stable polymorph in this dataset (eV per atom): 0.095
Symmetry: Imma (74)
Formation energy from raw total energies (kJ/mol of atoms): -246.3


[2]
Below is a relaxed structure of KAuI3, with properties calculated at the GGA-PBE level.

POSCAR file:
```
KAuI3
1.0
4.5335 -10.9265 0.0000
4.5335 10.9265 0.0000
0.0000 0.0000 6.0290
K I Au
2 6 2
direct
0.8382 0.1618 0.7500
0.1618 0.8382 0.2500
0.6072 0.9586 0.2500
0.9586 0.6072 0.7500
0.3928 0.0414 0.7500
0.0000 0.0000 0.0000
0.0414 0.3928 0.2500
0.0000 0.0000 0.5000
0.6719 0.3281 0.7500
0.3281 0.6719 0.2500
```

Results
Symmetry: Cmcm (63)
Formation energy from raw total energies (kJ/mol of atoms): -54.0


[3]
Below is a relaxed structure of CaPr8Sm3, with properties calculated at the GGA-PBE level.

POSCAR file:
```
CaPr8Sm3
1.0
3.4348 0.0000 -1.0114
0.8115 13.0797 2.7560
1.4634 8.8260 11.3085
Ca Pr Sm
1 8 3
direct
0.2359 0.8967 0.4719
0.4229 0.9543 0.8459
0.7466 0.6214 0.4931
0.4192 0.7057 0.8384
0.0869 0.7827 0.1737
0.5736 0.0446 0.1472
0.9138 0.2094 0.8275
0.2533 0.3671 0.5066
0.5758 0.3046 0.1516
0.7645 0.1022 0.5291
0.5969 0.5260 0.1939
0.4088 0.4549 0.8177
```

Results
E_form (kJ/mol of formula units): 158
Symmetry: Cm (8)


| no. | final energy (eV for the cell shown) | calculated volume (Å³/cell) |
| --- | --- | --- |
| 1 | -65.780 | 204 |
| 2 | -23.643 | 597 |
| 3 | -52.758 | 437 |